The following is a DFT calculation (PBE-GGA) of crystalline TbY3Pb5 at its relaxed geometry.

The symmetry is No. 193. The total moment comes out at 0.000 μB/atom. The density of states at the Fermi level is 0.978 states/eV per atom. The value obtained for the total energy is -46.38 eV/f.u. The value obtained for the volume is 28.87 A^3/atom.

abc: 9.5819 9.5819 6.5345
angles: 90.00 90.00 120.00
With the nearest neighbours (Å) after each atom.
Fractional positions:
Tb 0.0000 0.0000 0.0000  6 Pb 3.22, 2 Tb 3.27
Tb 0.0000 0.0000 0.5000  6 Pb 3.22, 2 Tb 3.27
Y 0.0000 0.3807 0.2500  9 Pb 3.16-3.41
Y 0.0000 0.6193 0.7500  9 Pb 3.16-3.41
Y 0.3807 0.0000 0.2500  9 Pb 3.16-3.41
Y 0.3807 0.3807 0.7500  9 Pb 3.16-3.41
Y 0.6193 0.0000 0.7500  9 Pb 3.16-3.41
Y 0.6193 0.6193 0.2500  9 Pb 3.16-3.41
Pb 0.0000 0.2891 0.7500  5 Y 3.16-3.38, 2 Tb 3.22
Pb 0.0000 0.7109 0.2500  5 Y 3.16-3.38, 2 Tb 3.22
Pb 0.2891 0.0000 0.7500  5 Y 3.16-3.38, 2 Tb 3.22
Pb 0.2891 0.2891 0.2500  5 Y 3.16-3.38, 2 Tb 3.22
Pb 0.3333 0.6667 0.0000  2 Pb 3.27, 6 Y 3.41
Pb 0.3333 0.6667 0.5000  2 Pb 3.27, 6 Y 3.41
Pb 0.6667 0.3333 0.0000  2 Pb 3.27, 6 Y 3.41
Pb 0.6667 0.3333 0.5000  2 Pb 3.27, 6 Y 3.41
Pb 0.7109 0.0000 0.2500  5 Y 3.16-3.38, 2 Tb 3.22
Pb 0.7109 0.7109 0.7500  5 Y 3.16-3.38, 2 Tb 3.22



The following is a DFT calculation (PBE-GGA) of crystalline TbYPb2 at its relaxed geometry.

The symmetry is No. 6. The total moment comes out at 0.000 μB/atom. The density of states at the Fermi level is 0.629 states/eV per atom. The value obtained for the total energy is -20.54 eV/f.u. The value obtained for the volume is 29.44 A^3/atom.

abc: 4.5144 4.4575 6.2712
angles: 90.00 111.04 90.00
With the nearest neighbours (Å) after each atom.
Fractional positions:
Tb 0.0000 0.0000 0.0000  7 Pb 3.15-3.53
Y 0.7423 0.5000 0.4798  7 Pb 3.15-3.52
Pb 0.2720 0.0000 0.5384  3 Tb 3.15-3.53, 4 Y 3.19, 2 Pb 3.24
Pb 0.4700 0.5000 0.9408  3 Y 3.15-3.52, 4 Tb 3.19, 2 Pb 3.24



The following is a DFT calculation (PBE-GGA) of crystalline TbY6Pb at its relaxed geometry.

The symmetry is No. 148. The total moment comes out at 0.000 μB/atom. The density of states at the Fermi level is 1.511 states/eV per atom. The value obtained for the total energy is -47.52 eV/f.u. The value obtained for the volume is 31.77 A^3/atom.

abc: 6.3489 6.3489 6.3489
angles: 93.73 93.73 93.73
With the nearest neighbours (Å) after each atom.
Fractional positions:
Tb 0.0000 0.0000 0.0000  12 Y 3.49-3.65
Y 0.0350 0.2577 0.5330  2 Y 3.19-3.27, 1 Pb 3.27, 1 Tb 3.49
Y 0.2577 0.5330 0.0350  2 Y 3.19-3.27, 1 Pb 3.27, 1 Tb 3.49
Y 0.4670 0.9650 0.7423  2 Y 3.19-3.27, 1 Pb 3.27, 1 Tb 3.49
Y 0.5330 0.0350 0.2577  2 Y 3.19-3.27, 1 Pb 3.27, 1 Tb 3.49
Y 0.7423 0.4670 0.9650  2 Y 3.19-3.27, 1 Pb 3.27, 1 Tb 3.49
Y 0.9650 0.7423 0.4670  2 Y 3.19-3.27, 1 Pb 3.27, 1 Tb 3.49
Pb 0.5000 0.5000 0.5000  6 Y 3.27



The following is a DFT calculation (PBE-GGA) of crystalline TbY2Pb at its relaxed geometry.

The relative energy among the computed polymorphs comes out at 0.000 eV/atom. The symmetry is No. 123. The total moment comes out at 0.006 μB/atom. The density of states at the Fermi level is 1.371 states/eV per atom. The value obtained for the total energy is -22.41 eV/f.u. The value obtained for the volume is 28.93 A^3/atom.

abc: 4.8935 4.8935 4.8331
angles: 90.00 90.00 90.00
With the nearest neighbours (Å) after each atom.
Fractional positions:
Tb 0.0000 0.0000 0.0000  8 Y 3.44, 4 Pb 3.46
Y 0.0000 0.5000 0.5000  4 Tb 3.44, 4 Pb 3.44, 4 Y 3.46
Y 0.5000 0.0000 0.5000  4 Tb 3.44, 4 Pb 3.44, 4 Y 3.46
Pb 0.5000 0.5000 0.0000  8 Y 3.44, 4 Tb 3.46



The following is a DFT calculation (PBE-GGA) of crystalline Tb3YPb12 at its relaxed geometry.

The symmetry is No. 123. The total moment comes out at 0.000 μB/atom. The density of states at the Fermi level is 0.505 states/eV per atom. The value obtained for the total energy is -69.63 eV/f.u. The value obtained for the volume is 29.15 A^3/atom.

abc: 4.9172 4.9172 19.2905
angles: 90.00 90.00 90.00
With the nearest neighbours (Å) after each atom.
Fractional positions:
Tb 0.0000 0.0000 0.0000  12 Pb 3.44-3.48
Tb 0.0000 0.0000 0.2499  12 Pb 3.44-3.48
Tb 0.0000 0.0000 0.7501  12 Pb 3.44-3.48
Y 0.0000 0.0000 0.5000  12 Pb 3.44-3.48
Pb 0.0000 0.5000 0.1250  4 Tb 3.44, 8 Pb 3.44-3.48
Pb 0.0000 0.5000 0.3750  8 Pb 3.44-3.48, 2 Y 3.44, 2 Tb 3.44
Pb 0.0000 0.5000 0.6250  8 Pb 3.44-3.48, 2 Y 3.44, 2 Tb 3.44
Pb 0.0000 0.5000 0.8750  4 Tb 3.44, 8 Pb 3.44-3.48
Pb 0.5000 0.0000 0.1250  4 Tb 3.44, 8 Pb 3.44-3.48
Pb 0.5000 0.0000 0.3750  8 Pb 3.44-3.48, 2 Y 3.44, 2 Tb 3.44
Pb 0.5000 0.0000 0.6250  8 Pb 3.44-3.48, 2 Y 3.44, 2 Tb 3.44
Pb 0.5000 0.0000 0.8750  4 Tb 3.44, 8 Pb 3.44-3.48
Pb 0.5000 0.5000 0.0000  8 Pb 3.44, 4 Tb 3.48
Pb 0.5000 0.5000 0.2500  8 Pb 3.44, 4 Tb 3.48
Pb 0.5000 0.5000 0.5000  8 Pb 3.44, 4 Y 3.48
Pb 0.5000 0.5000 0.7500  8 Pb 3.44, 4 Tb 3.48



The following is a DFT calculation (PBE-GGA) of crystalline Tb2YPb9 at its relaxed geometry.

The symmetry is No. 123. The total moment comes out at 0.000 μB/atom. The density of states at the Fermi level is 0.569 states/eV per atom. The value obtained for the total energy is -52.62 eV/f.u. The value obtained for the volume is 29.13 A^3/atom.

abc: 4.8837 4.8837 14.6562
angles: 90.00 90.00 90.00
With the nearest neighbours (Å) after each atom.
Fractional positions:
Tb 0.0000 0.0000 0.1661  12 Pb 3.45-3.46
Tb 0.0000 0.0000 0.8339  12 Pb 3.45-3.46
Y 0.0000 0.0000 0.5000  12 Pb 3.45
Pb 0.0000 0.5000 0.0000  4 Tb 3.45, 8 Pb 3.45
Pb 0.0000 0.5000 0.3333  8 Pb 3.45, 2 Y 3.45, 2 Tb 3.46
Pb 0.0000 0.5000 0.6667  8 Pb 3.45, 2 Y 3.45, 2 Tb 3.46
Pb 0.5000 0.0000 0.0000  4 Tb 3.45, 8 Pb 3.45
Pb 0.5000 0.0000 0.3333  8 Pb 3.45, 2 Y 3.45, 2 Tb 3.46
Pb 0.5000 0.0000 0.6667  8 Pb 3.45, 2 Y 3.45, 2 Tb 3.46
Pb 0.5000 0.5000 0.1666  8 Pb 3.45, 4 Tb 3.45
Pb 0.5000 0.5000 0.5000  4 Y 3.45, 8 Pb 3.45
Pb 0.5000 0.5000 0.8334  8 Pb 3.45, 4 Tb 3.45



The following is a DFT calculation (PBE-GGA) of crystalline TbY2Pb at its relaxed geometry.

The relative energy among the computed polymorphs comes out at 0.065 eV/atom. The symmetry is No. 123. The total moment comes out at 0.000 μB/atom. The density of states at the Fermi level is 1.103 states/eV per atom. The value obtained for the total energy is -22.15 eV/f.u. The value obtained for the volume is 30.77 A^3/atom.

abc: 3.6610 3.6610 9.1825
angles: 90.00 90.00 90.00
With the nearest neighbours (Å) after each atom.
Fractional positions:
Tb 0.0000 0.0000 0.0000  8 Y 3.56, 4 Tb 3.66
Y 0.5000 0.5000 0.2660  4 Pb 3.36, 4 Tb 3.56, 4 Y 3.66
Y 0.5000 0.5000 0.7340  4 Pb 3.36, 4 Tb 3.56, 4 Y 3.66
Pb 0.0000 0.0000 0.5000  8 Y 3.36, 4 Pb 3.66



The following is a DFT calculation (PBE-GGA) of crystalline Tb3YPb2 at its relaxed geometry.

The relative energy among the computed polymorphs comes out at 0.000 eV/atom. The symmetry is No. 115. The total moment comes out at 0.000 μB/atom. The density of states at the Fermi level is 0.747 states/eV per atom. The value obtained for the total energy is -30.36 eV/f.u. The value obtained for the volume is 30.10 A^3/atom.

abc: 4.5795 4.5795 8.6107
angles: 90.00 90.00 90.00
With the nearest neighbours (Å) after each atom.
Fractional positions:
Tb 0.0000 0.0000 0.0000  4 Y 3.24, 4 Pb 3.35
Tb 0.0000 0.5000 0.6571  5 Pb 3.21-3.28
Tb 0.5000 0.0000 0.3429  5 Pb 3.21-3.28
Y 0.5000 0.5000 0.0000  4 Tb 3.24, 4 Pb 3.35
Pb 0.0000 0.5000 0.2843  7 Tb 3.21-3.35, 2 Y 3.35
Pb 0.5000 0.0000 0.7157  7 Tb 3.21-3.35, 2 Y 3.35



Please write out number 7 again, unchanged.
The following is a DFT calculation (PBE-GGA) of crystalline TbY2Pb at its relaxed geometry.

The relative energy among the computed polymorphs comes out at 0.065 eV/atom. The symmetry is No. 123. The total moment comes out at 0.000 μB/atom. The density of states at the Fermi level is 1.103 states/eV per atom. The value obtained for the total energy is -22.15 eV/f.u. The value obtained for the volume is 30.77 A^3/atom.

abc: 3.6610 3.6610 9.1825
angles: 90.00 90.00 90.00
With the nearest neighbours (Å) after each atom.
Fractional positions:
Tb 0.0000 0.0000 0.0000  8 Y 3.56, 4 Tb 3.66
Y 0.5000 0.5000 0.2660  4 Pb 3.36, 4 Tb 3.56, 4 Y 3.66
Y 0.5000 0.5000 0.7340  4 Pb 3.36, 4 Tb 3.56, 4 Y 3.66
Pb 0.0000 0.0000 0.5000  8 Y 3.36, 4 Pb 3.66